P | Density functional theory data (PBE) for a geometry-optimized TlCo3Pd structure.

Structure (POSCAR):
```
TlCo3Pd
1.0
4.729 0.000 0.000
0.000 4.729 0.000
0.000 0.000 4.729
Tl Co Pd
1 3 1
Cartesian
0.000 0.000 0.000 Tl
0.000 0.000 2.364 Co
0.000 2.364 0.000 Co
2.364 0.000 0.000 Co
2.364 2.364 2.364 Pd
```


Q | Density functional theory data (PBE) for a geometry-optimized TlCo3Pd structure.

Structure (POSCAR):
```
TlCo3Pd
1.0
4.640 0.000 0.000
0.000 4.640 0.000
0.000 0.000 4.640
Tl Co Pd
1 3 1
Cartesian
0.000 0.000 0.000 Tl
0.000 2.320 2.320 Co
2.320 0.000 2.320 Co
2.320 2.320 0.000 Co
2.320 2.320 2.320 Pd
```


Unit: eV/atom. Relative energies: P 0.607; Q 0.000.


P | Density functional theory data (PBE) for a geometry-optimized TlCoPd2 structure.

Structure (POSCAR):
```
TlCoPd2
1.0
0.000 3.192 3.192
3.192 0.000 3.192
3.192 3.192 0.000
Tl Co Pd
1 1 2
Cartesian
0.000 0.000 0.000 Tl
3.192 3.192 3.192 Co
1.596 1.596 1.596 Pd
4.788 4.788 4.788 Pd
```


Q | Density functional theory data (PBE) for a geometry-optimized TlCoPd2 structure.

Structure (POSCAR):
```
TlCoPd2
1.0
-1.948 1.948 9.309
1.948 -1.948 9.309
1.948 1.948 -9.309
Tl Co Pd
2 2 4
Cartesian
0.000 0.000 0.000 Tl
0.000 1.948 4.654 Tl
1.948 0.000 4.654 Co
0.000 0.000 9.309 Co
0.974 -0.916 6.982 Pd
1.031 0.974 2.327 Pd
0.974 2.864 -2.327 Pd
0.916 0.974 11.636 Pd
```


Unit: eV/atom. Relative energies: P 0.000; Q 0.247.


P | Density functional theory data (PBE) for a geometry-optimized Tl2CoPd structure.

Structure (POSCAR):
```
Tl2CoPd
1.0
-2.150 2.150 9.301
2.150 -2.150 9.301
2.150 2.150 -9.301
Tl Co Pd
4 2 2
Cartesian
3.224 1.040 -2.325 Tl
1.040 1.075 2.325 Tl
-1.075 1.109 6.976 Tl
1.109 1.075 11.627 Tl
0.000 0.000 0.000 Co
0.000 2.150 4.651 Co
2.150 0.000 4.651 Pd
0.000 0.000 9.301 Pd
```


Q | Density functional theory data (PBE) for a geometry-optimized Tl2CoPd structure.

Structure (POSCAR):
```
Tl2CoPd
1.0
0.000 3.326 3.326
3.326 0.000 3.326
3.326 3.326 0.000
Tl Co Pd
2 1 1
Cartesian
1.663 1.663 1.663 Tl
4.989 4.989 4.989 Tl
0.000 0.000 0.000 Co
3.326 3.326 3.326 Pd
```


Unit: eV/atom. Relative energies: P 0.241; Q 0.000.


P | Density functional theory data (PBE) for a geometry-optimized Tm7Co2Pd2 structure.

Structure (POSCAR):
```
Tm7Co2Pd2
1.0
3.786 -5.215 0.000
3.786 5.215 0.000
0.000 0.000 6.681
Tm Co Pd
7 2 2
Cartesian
0.000 0.000 0.000 Tm
1.893 2.608 1.704 Tm
1.893 2.608 4.976 Tm
1.893 -2.608 1.704 Tm
1.893 -2.608 4.976 Tm
3.786 0.000 1.656 Tm
3.786 0.000 5.025 Tm
3.786 2.202 0.000 Co
3.786 -2.202 0.000 Co
1.427 0.000 3.340 Pd
6.146 0.000 3.340 Pd
```


Q | Density functional theory data (PBE) for a geometry-optimized Tm7Co2Pd2 structure.

Structure (POSCAR):
```
Tm7Co2Pd2
1.0
-1.846 7.459 4.597
1.846 -7.459 4.597
1.846 7.459 -4.597
Tm Co Pd
7 2 2
Cartesian
0.000 0.000 0.000 Tm
1.846 2.815 -1.032 Tm
1.846 -2.061 2.268 Tm
1.846 2.061 2.268 Tm
1.846 5.682 0.829 Tm
0.000 4.644 3.565 Tm
0.000 1.777 5.426 Tm
0.000 3.611 0.840 Co
0.000 11.307 0.840 Co
0.000 0.000 3.086 Pd
0.000 7.459 2.421 Pd
```


Unit: eV/atom. Relative energies: P 0.129; Q 0.000.


P | Density functional theory data (PBE) for a geometry-optimized Tm8CoPd2 structure.

Structure (POSCAR):
```
Tm8CoPd2
1.0
4.037 -6.507 0.000
4.037 6.507 0.000
-2.392 0.000 5.415
Tm Co Pd
8 1 2
Cartesian
0.000 0.000 0.000 Tm
-0.257 1.634 3.011 Tm
2.358 2.524 0.991 Tm
-0.257 -1.634 3.011 Tm
2.710 1.625 4.265 Tm
2.358 -2.524 0.991 Tm
2.710 -1.625 4.265 Tm
4.754 0.000 2.022 Tm
1.919 0.000 2.025 Co
1.240 3.994 3.745 Pd
1.240 -3.994 3.745 Pd
```


Q | Density functional theory data (PBE) for a geometry-optimized Tm8CoPd2 structure.

Structure (POSCAR):
```
Tm8CoPd2
1.0
8.473 -2.502 0.000
8.473 2.502 0.000
-1.891 0.000 6.338
Tm Co Pd
8 1 2
Cartesian
-0.032 0.000 1.858 Tm
1.896 0.000 5.153 Tm
4.726 0.000 3.362 Tm
6.827 0.000 0.415 Tm
8.227 0.000 5.923 Tm
10.329 0.000 2.976 Tm
13.158 0.000 1.185 Tm
15.086 0.000 4.480 Tm
7.527 0.000 3.169 Co
2.757 0.000 1.377 Pd
12.297 0.000 4.961 Pd
```


Unit: eV/atom. Relative energies: P 0.092; Q 0.000.


P | Density functional theory data (PBE) for a geometry-optimized Tm8Co2Pd structure.

Structure (POSCAR):
```
Tm8Co2Pd
1.0
4.103 -6.122 0.000
4.103 6.122 0.000
-1.631 0.000 5.412
Tm Co Pd
8 2 1
Cartesian
0.000 0.000 0.000 Tm
0.367 1.618 3.224 Tm
2.718 2.778 1.022 Tm
0.367 -1.618 3.224 Tm
3.418 1.616 4.246 Tm
2.718 -2.778 1.022 Tm
3.418 -1.616 4.246 Tm
5.464 0.000 2.051 Tm
1.897 3.785 3.727 Co
1.897 -3.785 3.727 Co
2.906 0.000 0.429 Pd
```


Q | Density functional theory data (PBE) for a geometry-optimized Tm8Co2Pd structure.

Structure (POSCAR):
```
Tm8Co2Pd
1.0
8.473 -2.426 0.000
8.473 2.426 0.000
-1.951 0.000 6.349
Tm Co Pd
8 2 1
Cartesian
0.065 0.000 1.802 Tm
1.813 0.000 5.231 Tm
4.498 0.000 3.330 Tm
6.772 0.000 0.223 Tm
8.224 0.000 6.126 Tm
10.497 0.000 3.019 Tm
13.182 0.000 1.118 Tm
14.930 0.000 4.547 Tm
2.764 0.000 1.332 Co
12.232 0.000 5.017 Co
7.498 0.000 3.174 Pd
```


Unit: eV/atom. Relative energies: P 0.050; Q 0.000.


P | Density functional theory data (PBE) for a geometry-optimized UCoPd structure.

Structure (POSCAR):
```
UCoPd
1.0
-1.634 1.634 9.836
1.634 -1.634 9.836
1.634 1.634 -9.836
U Co Pd
2 2 2
Cartesian
0.000 0.000 3.949 U
0.000 0.000 15.724 U
0.000 0.000 6.998 Co
0.000 0.000 12.674 Co
0.000 0.000 1.334 Pd
0.000 0.000 18.339 Pd
```


Q | Density functional theory data (PBE) for a geometry-optimized UCoPd structure.

Structure (POSCAR):
```
UCoPd
1.0
-1.575 1.575 5.047
1.575 -1.575 5.047
1.575 1.575 -5.047
U Co Pd
1 1 1
Cartesian
0.000 0.000 0.000 U
0.000 0.000 3.641 Co
0.000 0.000 7.080 Pd
```


Unit: eV/atom. Relative energies: P 0.125; Q 0.000.


P | Density functional theory data (PBE) for a geometry-optimized V2CoPd structure.

Structure (POSCAR):
```
V2CoPd
1.0
0.000 3.007 3.007
3.007 0.000 3.007
3.007 3.007 0.000
V Co Pd
2 1 1
Cartesian
1.503 1.503 1.503 V
4.510 4.510 4.510 V
0.000 0.000 0.000 Co
3.007 3.007 3.007 Pd
```


Q | Density functional theory data (PBE) for a geometry-optimized V2CoPd structure.

Structure (POSCAR):
```
V2CoPd
1.0
-1.835 1.835 8.417
1.835 -1.835 8.417
1.835 1.835 -8.417
V Co Pd
4 2 2
Cartesian
2.752 0.846 -2.104 V
0.846 0.917 2.104 V
-0.917 0.988 6.312 V
0.988 0.917 10.521 V
0.000 0.000 0.000 Co
0.000 1.835 4.208 Co
1.835 0.000 4.208 Pd
0.000 0.000 8.417 Pd
```


R | Density functional theory data (PBE) for a geometry-optimized V2CoPd structure.

Structure (POSCAR):
```
V2CoPd
1.0
3.702 0.000 0.000
0.000 3.702 0.000
0.000 0.000 3.787
V Co Pd
2 1 1
Cartesian
0.000 1.851 0.000 V
1.851 0.000 0.000 V
0.000 0.000 1.893 Co
1.851 1.851 1.893 Pd
```


S | Density functional theory data (PBE) for a geometry-optimized V2CoPd structure.

Structure (POSCAR):
```
V2CoPd
1.0
1.336 0.772 8.504
-1.336 0.772 8.504
0.000 -1.543 8.504
V Co Pd
2 1 1
Cartesian
0.000 0.000 0.000 V
0.000 0.000 4.491 V
0.000 0.000 14.999 Co
0.000 0.000 10.760 Pd
```


Unit: eV/atom. Relative energies: P 0.209; Q 0.507; R 0.000; S 0.132.


P | Density functional theory data (PBE) for a geometry-optimized VCoPd6 structure.

Structure (POSCAR):
```
VCoPd6
1.0
3.878 0.000 0.000
0.000 3.878 0.000
0.000 0.000 7.786
V Co Pd
1 1 6
Cartesian
0.000 0.000 0.000 V
0.000 0.000 3.893 Co
0.000 1.939 1.923 Pd
0.000 1.939 5.862 Pd
1.939 0.000 1.923 Pd
1.939 0.000 5.862 Pd
1.939 1.939 0.000 Pd
1.939 1.939 3.893 Pd
```


Q | Density functional theory data (PBE) for a geometry-optimized VCoPd6 structure.

Structure (POSCAR):
```
VCoPd6
1.0
4.934 0.000 0.000
-0.195 4.950 0.000
-0.192 -0.218 4.949
V Co Pd
1 1 6
Cartesian
0.000 0.000 0.000 V
2.274 2.366 2.475 Co
-0.097 2.142 3.707 Pd
0.945 4.678 2.661 Pd
2.150 3.702 0.146 Pd
2.398 1.030 4.803 Pd
3.602 0.054 2.288 Pd
4.644 2.591 1.242 Pd
```


Unit: eV/atom. Relative energies: P 0.000; Q 0.132.


P | Density functional theory data (PBE) for a geometry-optimized VCoPd2 structure.

Structure (POSCAR):
```
VCoPd2
1.0
3.805 0.000 0.000
0.000 3.805 0.000
0.000 0.000 3.797
V Co Pd
1 1 2
Cartesian
0.000 0.000 0.000 V
1.902 1.902 0.000 Co
0.000 1.902 1.899 Pd
1.902 0.000 1.899 Pd
```


Q | Density functional theory data (PBE) for a geometry-optimized VCoPd2 structure.

Structure (POSCAR):
```
VCoPd2
1.0
0.000 3.043 3.043
3.043 0.000 3.043
3.043 3.043 0.000
V Co Pd
1 1 2
Cartesian
0.000 0.000 0.000 V
3.043 3.043 3.043 Co
1.521 1.521 1.521 Pd
4.564 4.564 4.564 Pd
```


Unit: eV/atom. Relative energies: P 0.000; Q 0.175.


P | Density functional theory data (PBE) for a geometry-optimized V2Co2Pd structure.

Structure (POSCAR):
```
V2Co2Pd
1.0
6.746 0.000 0.000
0.000 6.746 0.000
0.000 0.000 2.755
V Co Pd
4 4 2
Cartesian
1.132 2.242 0.000 V
2.242 5.615 0.000 V
4.505 1.132 0.000 V
5.615 4.505 0.000 V
0.884 4.257 1.377 Co
2.490 0.884 1.377 Co
4.257 5.863 1.377 Co
5.863 2.490 1.377 Co
0.000 0.000 1.377 Pd
3.373 3.373 1.377 Pd
```


Q | Density functional theory data (PBE) for a geometry-optimized V2Co2Pd structure.

Structure (POSCAR):
```
V2Co2Pd
1.0
6.990 0.000 0.000
0.000 6.990 0.000
0.000 0.000 2.637
V Co Pd
4 4 2
Cartesian
1.048 2.447 0.000 V
2.447 5.942 0.000 V
4.543 1.048 0.000 V
5.942 4.543 0.000 V
0.988 4.483 1.318 Co
2.507 0.988 1.318 Co
4.483 6.002 1.318 Co
6.002 2.507 1.318 Co
0.000 0.000 0.000 Pd
3.495 3.495 0.000 Pd
```


Unit: eV/atom. Relative energies: P 0.000; Q 0.184.


P | Density functional theory data (PBE) for a geometry-optimized CoPd3W structure.

Structure (POSCAR):
```
CoPd3W
1.0
4.786 0.000 0.000
0.000 4.786 0.000
0.000 0.000 4.786
Co Pd W
1 3 1
Cartesian
0.000 0.000 0.000 Co
0.000 2.393 2.393 Pd
2.393 0.000 2.393 Pd
2.393 2.393 0.000 Pd
2.393 2.393 2.393 W
```


Q | Density functional theory data (PBE) for a geometry-optimized CoPd3W structure.

Structure (POSCAR):
```
CoPd3W
1.0
4.459 0.000 0.000
0.000 4.459 0.000
0.000 0.000 4.459
Co Pd W
1 3 1
Cartesian
0.000 0.000 0.000 Co
0.000 0.000 2.229 Pd
0.000 2.229 0.000 Pd
2.229 0.000 0.000 Pd
2.229 2.229 2.229 W
```


Unit: eV/atom. Relative energies: P 0.078; Q 0.000.